Run w
Here is PrDyGeRh after structural relaxation from Alexandria via LeMat-Bulk. Energies are from GGA-PBE.

Lattice parameters (Å, degrees): 4.203 4.212 5.735 90.00 111.50 90.00
Sites, in units of the cell vectors:
1 Pr 0.146 0.000 0.292
2 Rh 0.420 0.000 0.840
3 Dy 0.865 0.500 0.729
4 Ge 0.569 0.500 0.139


Run x
Here is PrDyGeRh after structural relaxation from Alexandria via LeMat-Bulk. Energies are from GGA-PBE.

Lattice parameters (Å, degrees): 5.061 5.061 5.061 60.00 60.00 60.00
Sites, in units of the cell vectors:
1 Rh 0.750 0.750 0.750
2 Dy 0.500 0.500 0.500
3 Ge 0.250 0.250 0.250
4 Pr 0.000 0.000 0.000


Most stable: run w (next structure +164 meV/atom)


Run w
Here is Dy3Ge2Pt7 after structural relaxation from Alexandria via LeMat-Bulk. Energies are from GGA-PBE.

Lattice parameters (Å, degrees): 4.015 4.122 14.701 98.06 90.00 90.00
Sites, in units of the cell vectors:
1 Ge 0.000 0.083 0.167
2 Ge 0.000 0.917 0.833
3 Pt 0.000 0.633 0.265
4 Dy 0.500 0.500 0.000
5 Pt 0.500 0.134 0.268
6 Pt 0.000 0.213 0.425
7 Pt 0.500 0.866 0.732
8 Pt 0.000 0.787 0.575
9 Dy 0.500 0.704 0.407
10 Pt 0.000 0.000 0.000
11 Pt 0.000 0.367 0.735
12 Dy 0.500 0.296 0.593


Run x
Here is Dy3Ge2Pt7 after structural relaxation from Alexandria via LeMat-Bulk. Energies are from GGA-PBE.

Lattice parameters (Å, degrees): 3.986 4.167 13.807 98.68 90.00 90.00
Sites, in units of the cell vectors:
1 Pt 0.000 0.780 0.561
2 Ge 0.000 0.131 0.262
3 Pt 0.000 0.580 0.161
4 Dy 0.500 0.500 0.000
5 Pt 0.500 0.922 0.844
6 Dy 0.500 0.683 0.366
7 Dy 0.500 0.317 0.634
8 Ge 0.000 0.869 0.738
9 Pt 0.500 0.078 0.156
10 Pt 0.000 0.220 0.439
11 Pt 0.000 0.000 0.000
12 Pt 0.000 0.420 0.839


Most stable: run x (next structure +148 meV/atom)


Run w
Here is DyGe2Pt7 after structural relaxation from Alexandria via LeMat-Bulk. Energies are from GGA-PBE.

Lattice parameters (Å, degrees): 4.094 4.094 10.688 101.04 101.04 90.00
Sites, in units of the cell vectors:
1 Ge 0.675 0.675 0.350
2 Pt 0.603 0.103 0.206
3 Ge 0.325 0.325 0.650
4 Pt 0.750 0.250 0.500
5 Pt 0.897 0.397 0.794
6 Pt 0.103 0.603 0.206
7 Pt 0.500 0.500 0.000
8 Pt 0.397 0.897 0.794
9 Pt 0.250 0.750 0.500
10 Dy 0.000 0.000 0.000


Run x
Here is DyGe2Pt7 after structural relaxation from Alexandria via LeMat-Bulk. Energies are from GGA-PBE.

Lattice parameters (Å, degrees): 4.433 7.215 7.215 119.19 90.00 90.00
Sites, in units of the cell vectors:
1 Pt 0.000 0.224 0.776
2 Pt 0.500 0.699 0.927
3 Pt 0.000 0.776 0.224
4 Dy 0.000 0.000 0.000
5 Ge 0.500 0.303 0.697
6 Pt 0.500 0.927 0.699
7 Pt 0.500 0.500 0.500
8 Ge 0.500 0.697 0.303
9 Pt 0.500 0.073 0.301
10 Pt 0.500 0.301 0.073


Most stable: run w (next structure +325 meV/atom)


Run w
Here is DyGePt3 after structural relaxation from Alexandria via LeMat-Bulk. Energies are from GGA-PBE.

Lattice parameters (Å, degrees): 7.281 4.586 5.710 90.00 90.00 90.00
Sites, in units of the cell vectors:
1 Ge 0.368 0.841 0.799
2 Dy 0.907 0.201 0.799
3 Pt 0.002 0.037 0.299
4 Ge 0.868 0.512 0.299
5 Dy 0.407 0.152 0.299
6 Pt 0.673 0.790 0.557
7 Pt 0.173 0.563 0.057
8 Pt 0.502 0.316 0.799
9 Pt 0.673 0.790 0.041
10 Pt 0.173 0.563 0.541


Run x
Here is DyGePt3 after structural relaxation from Alexandria via LeMat-Bulk. Energies are from GGA-PBE.

Lattice parameters (Å, degrees): 5.072 5.621 7.062 90.00 90.00 90.00
Sites, in units of the cell vectors:
1 Ge 0.000 0.500 0.000
2 Pt 0.500 0.500 0.000
3 Pt 0.000 0.377 0.673
4 Ge 0.000 0.000 0.500
5 Dy 0.500 0.000 0.000
6 Pt 0.500 0.000 0.500
7 Pt 0.000 0.623 0.327
8 Pt 0.000 0.123 0.173
9 Pt 0.000 0.877 0.827
10 Dy 0.500 0.500 0.500


Most stable: run w (next structure +225 meV/atom)


Run w
Here is DyGePt6 after structural relaxation from Alexandria via LeMat-Bulk. Energies are from GGA-PBE.

Lattice parameters (Å, degrees): 4.058 4.058 8.054 90.00 90.00 90.00
Sites, in units of the cell vectors:
1 Pt 0.000 0.500 0.262
2 Pt 0.500 0.500 0.000
3 Pt 0.500 0.000 0.262
4 Pt 0.500 0.500 0.500
5 Pt 0.000 0.500 0.738
6 Pt 0.500 0.000 0.738
7 Ge 0.000 0.000 0.500
8 Dy 0.000 0.000 0.000


Run x
Here is DyGePt6 after structural relaxation from Alexandria via LeMat-Bulk. Energies are from GGA-PBE.

Lattice parameters (Å, degrees): 5.390 5.390 7.325 68.41 68.41 60.00
Sites, in units of the cell vectors:
1 Pt 0.435 0.925 0.714
2 Pt 0.925 0.925 0.714
3 Pt 0.925 0.435 0.714
4 Dy 0.500 0.500 0.500
5 Pt 0.075 0.075 0.286
6 Pt 0.075 0.565 0.286
7 Pt 0.565 0.075 0.286
8 Ge 0.000 0.000 0.000


Most stable: run w (next structure +207 meV/atom)


Run w
Here is DyGePt4 after structural relaxation from Alexandria via LeMat-Bulk. Energies are from GGA-PBE.

Lattice parameters (Å, degrees): 5.550 4.617 9.218 106.52 107.63 89.98
Sites, in units of the cell vectors:
1 Pt 0.025 0.941 0.342
2 Ge 0.000 0.500 0.500
3 Dy 0.226 0.250 0.999
4 Pt 0.545 0.137 0.798
5 Pt 0.746 0.364 0.202
6 Pt 0.683 0.560 0.659
7 Pt 0.975 0.059 0.658
8 Pt 0.455 0.863 0.202
9 Dy 0.774 0.750 0.001
10 Ge 0.500 0.000 0.500
11 Pt 0.254 0.636 0.798
12 Pt 0.317 0.440 0.341


Run x
Here is DyGePt4 after structural relaxation from Alexandria via LeMat-Bulk. Energies are from GGA-PBE.

Lattice parameters (Å, degrees): 4.009 6.957 7.614 90.00 90.00 90.00
Sites, in units of the cell vectors:
1 Pt 0.500 0.055 0.250
2 Pt 0.500 0.692 0.048
3 Pt 0.500 0.692 0.452
4 Pt 0.000 0.000 0.000
5 Pt 0.500 0.308 0.548
6 Dy 0.000 0.641 0.750
7 Ge 0.000 0.773 0.250
8 Pt 0.000 0.000 0.500
9 Pt 0.500 0.308 0.952
10 Dy 0.000 0.359 0.250
11 Ge 0.000 0.227 0.750
12 Pt 0.500 0.945 0.750


Most stable: run x (next structure +126 meV/atom)


Run w
Here is DyYGePt after structural relaxation from Alexandria via LeMat-Bulk. Energies are from GGA-PBE.

Lattice parameters (Å, degrees): 5.013 5.013 5.013 60.00 60.00 60.00
Sites, in units of the cell vectors:
1 Y 0.500 0.500 0.500
2 Pt 0.750 0.750 0.750
3 Ge 0.250 0.250 0.250
4 Dy 0.000 0.000 0.000


Run x
Here is DyYGePt after structural relaxation from Alexandria via LeMat-Bulk. Energies are from GGA-PBE.

Lattice parameters (Å, degrees): 3.924 4.290 5.769 90.00 109.88 90.00
Sites, in units of the cell vectors:
1 Ge 0.582 0.500 0.164
2 Y 0.861 0.500 0.722
3 Pt 0.417 0.000 0.834
4 Dy 0.140 0.000 0.281


Most stable: run x (next structure +136 meV/atom)


Run w
Here is Dy2PuGe after structural relaxation from Alexandria via LeMat-Bulk. Energies are from GGA-PBE.

Lattice parameters (Å, degrees): 4.446 4.721 4.721 90.00 90.00 90.00
Last column: magnetic moment on the atom in μB.
Sites, in units of the cell vectors:
1 Dy 0.000 0.000 0.500  0.33
2 Ge 0.500 0.000 0.000  -0.06
3 Dy 0.000 0.500 0.000  0.33
4 Pu 0.500 0.500 0.500  5.57


Run x
Here is Dy2PuGe after structural relaxation from Alexandria via LeMat-Bulk. Energies are from GGA-PBE.

Lattice parameters (Å, degrees): 3.515 3.515 10.959 80.77 80.77 60.00
Last column: magnetic moment on the atom in μB.
Sites, in units of the cell vectors:
1 Pu 0.000 0.000 0.000  5.81
2 Dy 0.898 0.898 0.307  0.06
3 Dy 0.102 0.102 0.693  0.06
4 Ge 0.500 0.500 0.500  0.00


Most stable: run w (next structure +293 meV/atom)


Run w
Here is DyPu2Ge after structural relaxation from Alexandria via LeMat-Bulk. Energies are from GGA-PBE.

Lattice parameters (Å, degrees): 3.472 3.472 10.585 80.56 80.56 60.00
Last column: magnetic moment on the atom in μB.
Sites, in units of the cell vectors:
1 Dy 0.500 0.500 0.500  0.16
2 Pu 0.738 0.738 0.787  5.45
3 Ge 0.000 0.000 0.000  -0.03
4 Pu 0.262 0.262 0.213  5.45


Run x
Here is DyPu2Ge after structural relaxation from Alexandria via LeMat-Bulk. Energies are from GGA-PBE.

Lattice parameters (Å, degrees): 4.976 4.389 4.389 90.00 90.00 90.00
Last column: magnetic moment on the atom in μB.
Sites, in units of the cell vectors:
1 Pu 0.000 0.500 0.000  5.60
2 Pu 0.000 0.000 0.500  5.60
3 Dy 0.500 0.500 0.500  0.28
4 Ge 0.500 0.000 0.000  -0.11


Most stable: run x (next structure +326 meV/atom)


Run w
Here is Dy2Ge5Rh3 after structural relaxation from Alexandria via LeMat-Bulk. Energies are from GGA-PBE.

Lattice parameters (Å, degrees): 8.345 8.345 5.885 71.24 71.24 94.21
Sites, in units of the cell vectors:
1 Ge 0.487 0.513 0.750
2 Rh 0.455 0.739 0.375
3 Ge 0.735 0.925 0.169
4 Ge 0.265 0.075 0.831
5 Rh 0.002 0.998 0.250
6 Rh 0.739 0.455 0.875
7 Ge 0.513 0.487 0.250
8 Rh 0.545 0.261 0.625
9 Ge 0.222 0.778 0.750
10 Dy 0.592 0.870 0.763
11 Ge 0.778 0.222 0.250
12 Ge 0.207 0.793 0.250
13 Ge 0.925 0.735 0.669
14 Dy 0.130 0.408 0.737
15 Ge 0.075 0.265 0.331
16 Dy 0.870 0.592 0.263
17 Rh 0.998 0.002 0.750
18 Dy 0.408 0.130 0.237
19 Rh 0.261 0.545 0.125
20 Ge 0.793 0.207 0.750


Run x
Here is Dy2Ge5Rh3 after structural relaxation from Alexandria via LeMat-Bulk. Energies are from GGA-PBE.

Lattice parameters (Å, degrees): 4.231 6.831 12.519 90.00 99.73 90.00
Sites, in units of the cell vectors:
1 Rh 0.054 0.957 0.108
2 Rh 0.946 0.457 0.892
3 Dy 0.521 0.239 0.042
4 Ge 0.400 0.377 0.801
5 Ge 0.600 0.877 0.199
6 Dy 0.825 0.243 0.649
7 Ge 0.118 0.263 0.235
8 Ge 0.708 0.023 0.417
9 Dy 0.175 0.743 0.351
10 Ge 0.952 0.074 0.904
11 Ge 0.048 0.574 0.096
12 Ge 0.292 0.523 0.583
13 Ge 0.707 0.446 0.413
14 Rh 0.393 0.008 0.787
15 Rh 0.779 0.734 0.559
16 Dy 0.479 0.739 0.958
17 Ge 0.293 0.946 0.587
18 Ge 0.882 0.763 0.765
19 Rh 0.221 0.234 0.441
20 Rh 0.607 0.508 0.213


Most stable: run w (next structure +31 meV/atom)


Run w
Here is DyGe4Rh6 after structural relaxation from Alexandria via LeMat-Bulk. Energies are from GGA-PBE.

Lattice parameters (Å, degrees): 3.832 7.226 7.226 120.00 90.00 90.00
Sites, in units of the cell vectors:
1 Rh 0.000 0.533 0.067
2 Rh 0.500 0.604 0.802
3 Rh 0.000 0.933 0.467
4 Ge 0.000 0.333 0.667
5 Rh 0.500 0.198 0.396
6 Ge 0.500 0.803 0.607
7 Rh 0.500 0.198 0.802
8 Ge 0.500 0.393 0.197
9 Ge 0.500 0.803 0.197
10 Rh 0.000 0.533 0.467
11 Dy 0.000 0.000 0.000


Run x
Here is DyGe4Rh6 after structural relaxation from Alexandria via LeMat-Bulk. Energies are from GGA-PBE.

Lattice parameters (Å, degrees): 7.575 7.575 7.575 57.91 139.96 139.96
Sites, in units of the cell vectors:
1 Rh 0.556 0.598 0.598
2 Ge 0.388 0.831 0.831
3 Rh 0.000 0.402 0.958
4 Ge 0.612 0.443 0.443
5 Rh 0.444 0.042 0.042
6 Rh 0.000 0.958 0.402
7 Dy 0.000 0.000 0.000
8 Ge 0.000 0.557 0.169
9 Rh 0.500 0.000 0.500
10 Ge 0.000 0.169 0.557
11 Rh 0.500 0.500 0.000


Most stable: run w (next structure +292 meV/atom)